The following is a PBE with a Hubbard U calculation of a geometry-optimized Ho2Tl2VO6 structure, from Alexandria via LeMat-Bulk.

Computed properties:
* DFT total energy: -75.9 eV/cell
* SG: C2/m

a = 5.7254 Å, b = 5.7254 Å, c = 6.7539 Å
α = 97.50°, β = 97.50°, γ = 119.57°
Last column: magnetic moment on the atom in μB.
Fractional positions:
O (0.0467, 0.3471, 0.6569)  -0.01
O (0.2485, 0.2485, 0.3312)  0.00
V (0.0000, 0.0000, 0.5000)  1.02
O (0.9533, 0.6529, 0.3431)  -0.01
Tl (0.8371, 0.1629, 0.0000)  0.00
Ho (0.6652, 0.3348, 0.5000)  0.00
O (0.3471, 0.0467, 0.6569)  -0.01
O (0.6529, 0.9533, 0.3431)  -0.01
Ho (0.3348, 0.6652, 0.5000)  0.00
O (0.7515, 0.7515, 0.6688)  0.00
Tl (0.1629, 0.8371, 0.0000)  0.00